LiMgNb: optimized geometry, PBE.

- energy above the most stable polymorph in this dataset (eV/atom) = 0.066
- mass density (Mg/m³) = 3.69
- energy of formation (meV/atom) = 231
- raw total energy (eV per cell) = -25.8

Unit cell a=4.560 b=3.187 c=7.949 alpha=90.00 beta=104.78 gamma=90.00
Space group Cm (No. 8)
One atom of each set of equivalent atoms:
Li: 0.000 0.000 0.000 (multiplicity 2)
Mg: 0.332 0.000 0.669 (multiplicity 2)
Nb: 0.168 0.500 0.332 (multiplicity 2)


SrTl2Re: optimized geometry, PBE.

- energy above the most stable polymorph in this dataset (eV/atom) = 0.097
- mass density (Mg/m³) = 10.59
- energy of formation (meV/atom) = 667
- raw total energy (eV per cell) = -16.2

Unit cell a=3.670 b=3.670 c=7.944 alpha=90.00 beta=90.00 gamma=90.00
Space group P4mm (No. 99)
One atom of each set of equivalent atoms:
Sr: 0.000 0.000 0.000 (multiplicity 1)
Tl: 0.000 0.000 0.593 (multiplicity 1)
Tl: 0.500 0.500 0.329 (multiplicity 1)
Re: 0.500 0.500 0.718 (multiplicity 1)


Tl2GaPtI: optimized geometry, PBE.

- mass density (Mg/m³) = 8.97
- formation energy from raw total energies (meV/atom) = -375
- raw total energy (eV per cell) = -17.2

Unit cell a=5.498 b=5.498 c=4.904 alpha=90.00 beta=90.00 gamma=90.00
Space group P4/mmm (No. 123)
One atom of each set of equivalent atoms:
Tl: 0.000 0.500 0.000 (multiplicity 2)
Ga: 0.000 0.000 0.500 (multiplicity 1)
Pt: 0.000 0.000 0.000 (multiplicity 1)
I: 0.500 0.500 0.500 (multiplicity 1)


AlCuTc2: optimized geometry, PBE.

- mass density (Mg/m³) = 8.47
- energy of formation (meV/atom) = 2
- raw total energy (eV per cell) = -57.1

Unit cell a=3.123 b=4.182 c=8.605 alpha=90.00 beta=90.00 gamma=90.00
Space group Immm (No. 71)
One atom of each set of equivalent atoms:
Al: 0.000 0.000 0.000 (multiplicity 2)
Cu: 0.000 0.000 0.500 (multiplicity 2)
Tc: 0.000 0.500 0.250 (multiplicity 4)


NdSmTm6: optimized geometry, PBE.

- energy above the most stable polymorph in this dataset (eV/atom) = 0.344
- mass density (Mg/m³) = 7.87
- energy of formation (meV/atom) = 372
- raw total energy (eV per cell) = -66.7

Unit cell a=10.186 b=6.633 c=8.469 alpha=90.00 beta=105.15 gamma=90.00
Space group C2/m (No. 12)
One atom of each set of equivalent atoms:
Nd: 0.000 0.000 0.000 (multiplicity 2)
Sm: 0.000 0.000 0.500 (multiplicity 2)
Tm: 0.124 0.500 0.422 (multiplicity 4)
Tm: 0.198 0.258 0.798 (multiplicity 8)


Cu3SbPd6: optimized geometry, PBE.

- mass density (Mg/m³) = 10.12
- formation energy from raw total energies (meV/atom) = -96
- raw total energy (eV per cell) = -97.0

Unit cell a=7.342 b=5.729 c=10.396 alpha=90.00 beta=134.46 gamma=90.00
Space group P2_1/c (No. 14)
One atom of each set of equivalent atoms:
Cu: 0.000 0.000 0.000 (multiplicity 2)
Cu: 0.261 0.211 0.737 (multiplicity 4)
Sb: 0.500 0.000 0.500 (multiplicity 2)
Pd: 0.082 0.701 0.246 (multiplicity 4)
Pd: 0.231 0.623 0.063 (multiplicity 4)
Pd: 0.389 0.100 0.058 (multiplicity 4)